(i)
This record from OQMD via LeMat-Bulk describes a relaxed structure of NaFeGeBi. The functional is PBE.

Structure (POSCAR):
```
NaFeGeBi
1.0
0.0000 3.4499 3.4499
3.4499 0.0000 3.4499
3.4499 3.4499 0.0000
Na Fe Ge Bi
1 1 1 1
Direct
0.0000 0.0000 0.0000
0.5000 0.5000 0.5000
0.2500 0.2500 0.2500
0.7500 0.7500 0.7500
```

Calculated values
Its space group is F-43m, No. 216. The spin magnetization is 2.6 μB/f.u.



(ii)
This record from OQMD via LeMat-Bulk describes a relaxed structure of NaFeGeBi. The functional is PBE.

Structure (POSCAR):
```
NaFeGeBi
1.0
0.0000 3.5326 3.5326
3.5326 0.0000 3.5326
3.5326 3.5326 0.0000
Na Fe Ge Bi
1 1 1 1
Direct
0.0000 0.0000 0.0000
0.7500 0.7500 0.7500
0.2500 0.2500 0.2500
0.5000 0.5000 0.5000
```

Calculated values
Its space group is F-43m, No. 216. The spin magnetization is 2.7 μB/f.u.



Least stable of them? (ii).



(i)
This record from OQMD via LeMat-Bulk describes a relaxed structure of Ho3Hf3FeBi2. The functional is PBE.

Structure (POSCAR):
```
Ho3Hf3FeBi2
1.0
8.1078 0.0000 0.0000
-4.0539 7.0215 0.0000
0.0000 0.0000 3.7713
Ho Hf Fe Bi
3 3 1 2
Direct
0.0000 0.2419 0.0000
0.2419 0.0000 0.0000
0.7581 0.7581 0.0000
0.0000 0.6164 0.5000
0.3836 0.3836 0.5000
0.6164 0.0000 0.5000
0.0000 0.0000 0.5000
0.3333 0.6667 0.0000
0.6667 0.3333 0.0000
```

Calculated values
Its space group is P-62m, No. 189. The spin magnetization is 0.5 μB/f.u.



(ii)
This record from OQMD via LeMat-Bulk describes a relaxed structure of Ho3Hf3FeBi2. The functional is PBE.

Structure (POSCAR):
```
Ho3Hf3FeBi2
1.0
7.9375 0.0000 0.0000
-3.9687 6.8741 0.0000
0.0000 0.0000 4.1023
Ho Hf Fe Bi
3 3 1 2
Direct
0.0000 0.6118 0.0000
0.3882 0.3882 0.0000
0.6118 0.0000 0.0000
0.0000 0.2165 0.5000
0.2165 0.0000 0.5000
0.7835 0.7835 0.5000
0.0000 0.0000 0.0000
0.3333 0.6667 0.5000
0.6667 0.3333 0.5000
```

Calculated values
Its space group is P-62m, No. 189. The spin magnetization is 2.8 μB/f.u.



Least stable of them? (i).



(i)
This record from OQMD via LeMat-Bulk describes a relaxed structure of HfMgFeBi. The functional is PBE.

Structure (POSCAR):
```
HfMgFeBi
1.0
0.0000 3.3446 3.3446
3.3446 0.0000 3.3446
3.3446 3.3446 0.0000
Hf Mg Fe Bi
1 1 1 1
Direct
0.0000 0.0000 0.0000
0.2500 0.2500 0.2500
0.7500 0.7500 0.7500
0.5000 0.5000 0.5000
```

Calculated values
Its space group is F-43m, No. 216. The spin magnetization is 0.5 μB/f.u.



(ii)
This record from OQMD via LeMat-Bulk describes a relaxed structure of HfMgFeBi. The functional is PBE.

Structure (POSCAR):
```
HfMgFeBi
1.0
0.0000 3.3824 3.3824
3.3824 0.0000 3.3824
3.3824 3.3824 0.0000
Hf Mg Fe Bi
1 1 1 1
Direct
0.0000 0.0000 0.0000
0.7500 0.7500 0.7500
0.5000 0.5000 0.5000
0.2500 0.2500 0.2500
```

Calculated values
Its space group is F-43m, No. 216. The spin magnetization is 1.4 μB/f.u.



Least stable of them? (ii).



(i)
This record from OQMD via LeMat-Bulk describes a relaxed structure of HfFeReBi. The functional is PBE.

Structure (POSCAR):
```
HfFeReBi
1.0
0.0000 3.2501 3.2501
3.2501 0.0000 3.2501
3.2501 3.2501 0.0000
Hf Fe Re Bi
1 1 1 1
Direct
0.0000 0.0000 0.0000
0.7500 0.7500 0.7500
0.2500 0.2500 0.2500
0.5000 0.5000 0.5000
```

Calculated values
Its space group is F-43m, No. 216. The spin magnetization is 0.0 μB/f.u.



(ii)
This record from OQMD via LeMat-Bulk describes a relaxed structure of HfFeReBi. The functional is PBE.

Structure (POSCAR):
```
HfFeReBi
1.0
0.0000 3.2934 3.2934
3.2934 0.0000 3.2934
3.2934 3.2934 0.0000
Hf Fe Re Bi
1 1 1 1
Direct
0.0000 0.0000 0.0000
0.5000 0.5000 0.5000
0.7500 0.7500 0.7500
0.2500 0.2500 0.2500
```

Calculated values
Its space group is F-43m, No. 216. The spin magnetization is 3.9 μB/f.u.



Least stable of them? (ii).



(i)
This record from OQMD via LeMat-Bulk describes a relaxed structure of Hf3Zr3FeBi2. The functional is PBE.

Structure (POSCAR):
```
Hf3Zr3FeBi2
1.0
7.9206 0.0000 0.0000
-3.9603 6.8594 0.0000
0.0000 0.0000 3.6218
Hf Zr Fe Bi
3 3 1 2
Direct
0.0000 0.6173 0.0000
0.3827 0.3827 0.0000
0.6173 0.0000 0.0000
0.0000 0.2384 0.5000
0.2384 0.0000 0.5000
0.7616 0.7616 0.5000
0.0000 0.0000 0.0000
0.3333 0.6667 0.5000
0.6667 0.3333 0.5000
```

Calculated values
Its space group is P-62m, No. 189. The spin magnetization is 0.0 μB/f.u.



(ii)
This record from OQMD via LeMat-Bulk describes a relaxed structure of Hf3Zr3FeBi2. The functional is PBE.

Structure (POSCAR):
```
Hf3Zr3FeBi2
1.0
7.8870 0.0000 0.0000
-3.9435 6.8304 0.0000
0.0000 0.0000 3.6494
Hf Zr Fe Bi
3 3 1 2
Direct
0.0000 0.2322 0.0000
0.2322 0.0000 0.0000
0.7678 0.7678 0.0000
0.0000 0.6120 0.5000
0.3880 0.3880 0.5000
0.6120 0.0000 0.5000
0.0000 0.0000 0.5000
0.3333 0.6667 0.0000
0.6667 0.3333 0.0000
```

Calculated values
Its space group is P-62m, No. 189. The spin magnetization is 0.1 μB/f.u.



Least stable of them? (i).



(i)
This record from OQMD via LeMat-Bulk describes a relaxed structure of FeNiHgBi. The functional is PBE.

Structure (POSCAR):
```
FeNiHgBi
1.0
0.0000 3.2856 3.2856
3.2856 0.0000 3.2856
3.2856 3.2856 0.0000
Fe Ni Hg Bi
1 1 1 1
Direct
0.0000 0.0000 0.0000
0.5000 0.5000 0.5000
0.2500 0.2500 0.2500
0.7500 0.7500 0.7500
```

Calculated values
Its space group is F-43m, No. 216. The spin magnetization is 2.4 μB/f.u.



(ii)
This record from OQMD via LeMat-Bulk describes a relaxed structure of FeNiHgBi. The functional is PBE.

Structure (POSCAR):
```
FeNiHgBi
1.0
0.0000 3.3657 3.3657
3.3657 0.0000 3.3657
3.3657 3.3657 0.0000
Fe Ni Hg Bi
1 1 1 1
Direct
0.0000 0.0000 0.0000
0.7500 0.7500 0.7500
0.2500 0.2500 0.2500
0.5000 0.5000 0.5000
```

Calculated values
Its space group is F-43m, No. 216. The spin magnetization is 2.9 μB/f.u.



Least stable of them? (ii).